1.
This record from Alexandria describes an optimized crystal structure of Ta2Zn3Ni4. The functional is PBE.

Summary:
- total moment (μB per formula unit) = 0.00
- E_form (meV/atom) = -176
- space-group type = No. 164
- final energy (eV per cell) = -52.2

Unit cell a=4.2046 b=4.2060 c=7.8744 alpha=89.96 beta=90.00 gamma=60.01
With the nearest neighbours (Å) after each atom.
Positions (direct):
Ni 0.3334 0.3332 0.1032  4 Ta 2.53-2.59, 4 Zn 2.55-2.56
Ni 0.9998 0.0004 0.6577  1 Ni 2.48, 4 Zn 2.52-2.70, 3 Ta 2.62
Ni 0.0002 0.9996 0.3423  1 Ni 2.48, 4 Zn 2.52-2.70, 3 Ta 2.62
Ni 0.6666 0.6668 0.8968  4 Ta 2.53-2.59, 4 Zn 2.55-2.56
Zn 0.6665 0.6670 0.5727  4 Ni 2.52-2.55, 3 Zn 2.68-2.69, 1 Ta 2.79
Zn 0.3335 0.3330 0.4273  4 Ni 2.52-2.55, 3 Zn 2.68-2.69, 1 Ta 2.79
Zn 0.0000 0.0000 0.0000  8 Ni 2.56-2.70
Ta 0.3332 0.3336 0.7821  7 Ni 2.53-2.62, 1 Zn 2.79
Ta 0.6668 0.6664 0.2179  7 Ni 2.53-2.62, 1 Zn 2.79

2.
This record from Alexandria describes an optimized crystal structure of TaZn2Ni. The functional is PBE.

Summary:
- total moment (μB per formula unit) = 0.00
- relative energy among the computed polymorphs (meV per atom) = 202
- E_form (meV/atom) = 90
- space-group type = No. 12
- final energy (eV per cell) = -19.8

Unit cell a=5.1854 b=5.1854 c=2.6341 alpha=81.25 beta=81.25 gamma=119.55
With the nearest neighbours (Å) after each atom.
Positions (direct):
Zn 0.5000 0.5000 0.0000  4 Zn 2.61-2.63, 2 Ni 2.72, 2 Ta 2.72
Zn 0.0000 0.0000 0.0000  4 Zn 2.61-2.63, 2 Ta 2.72, 2 Ni 2.72
Ta 0.0000 0.5000 0.5000  2 Ni 2.61, 2 Ta 2.63, 4 Zn 2.72
Ni 0.5000 0.0000 0.5000  2 Ta 2.61, 2 Ni 2.63, 4 Zn 2.72

3.
This record from Alexandria describes an optimized crystal structure of TaZn2Ni2. The functional is PBE.

Summary:
- total moment (μB per formula unit) = 0.00
- relative energy among the computed polymorphs (meV per atom) = 325
- E_form (meV/atom) = 186
- space-group type = No. 139
- final energy (eV per cell) = -25.0

Unit cell a=5.9423 b=5.9423 c=5.9423 alpha=144.69 beta=144.69 gamma=50.80
With the nearest neighbours (Å) after each atom.
Positions (direct):
Zn 0.6081 0.6081 0.0000  1 Zn 2.32, 4 Ni 2.36
Zn 0.3919 0.3919 0.0000  1 Zn 2.32, 4 Ni 2.36
Ta 0.0000 0.0000 0.0000  8 Zn 2.80
Ni 0.2500 0.7500 0.5000  4 Zn 2.36, 4 Ni 2.55
Ni 0.7500 0.2500 0.5000  4 Zn 2.36, 4 Ni 2.55

4.
This record from Alexandria describes an optimized crystal structure of Ta2ZnNi. The functional is PBE.

Summary:
- total moment (μB per formula unit) = 0.00
- E_form (meV/atom) = -39
- space-group type = No. 10
- final energy (eV per cell) = -30.9

Unit cell a=3.8533 b=2.8220 c=6.3210 alpha=62.79 beta=90.00 gamma=90.00
With the nearest neighbours (Å) after each atom.
Positions (direct):
Ta 0.0000 0.4874 0.5072  4 Ta 2.73-2.89, 4 Ni 2.73-2.77, 4 Zn 2.79
Ta 0.0000 0.0126 0.9928  4 Ta 2.73-2.89, 4 Ni 2.73-2.77, 4 Zn 2.79
Zn 0.5000 0.2500 0.2500  8 Ta 2.79, 2 Ni 2.81, 2 Zn 2.82
Ni 0.5000 0.7500 0.7500  8 Ta 2.73-2.77, 2 Zn 2.81, 2 Ni 2.82

5.
This record from Alexandria describes an optimized crystal structure of TaZnNi. The functional is PBE.

Summary:
- total moment (μB per formula unit) = 0.00
- E_form (meV/atom) = 176
- space-group type = No. 180
- final energy (eV per cell) = -110.3

Unit cell a=5.3075 b=5.3075 c=11.0955 alpha=90.00 beta=90.00 gamma=120.00
With the nearest neighbours (Å) after each atom.
Positions (direct):
Ni 0.3741 0.6259 0.5000  1 Ni 2.31, 4 Zn 2.35-2.43, 2 Ta 2.55
Ni 0.7482 0.3741 0.8333  1 Ni 2.31, 4 Zn 2.35-2.43, 2 Ta 2.55
Ni 0.3741 0.7482 0.1667  1 Ni 2.31, 4 Zn 2.35-2.43, 2 Ta 2.55
Ni 0.6259 0.2518 0.1667  1 Ni 2.31, 4 Zn 2.35-2.43, 2 Ta 2.55
Ni 0.2518 0.6259 0.8333  1 Ni 2.31, 4 Zn 2.35-2.43, 2 Ta 2.55
Ni 0.6259 0.3741 0.5000  1 Ni 2.31, 4 Zn 2.35-2.43, 2 Ta 2.55
Zn 0.5000 0.5000 0.3077  4 Ni 2.35-2.43
Zn 0.5000 0.0000 0.3590  4 Ni 2.35-2.43
Zn 0.0000 0.5000 0.6410  4 Ni 2.35-2.43
Zn 0.0000 0.5000 0.0257  4 Ni 2.35-2.43
Zn 0.5000 0.5000 0.6923  4 Ni 2.35-2.43
Zn 0.5000 0.0000 0.9743  4 Ni 2.35-2.43
Ta 0.5000 0.0000 0.6667  4 Ni 2.55, 4 Zn 2.67
Ta 0.5000 0.5000 0.0000  4 Ni 2.55, 4 Zn 2.67
Ta 0.0000 0.0000 0.5000  4 Ni 2.90, 4 Zn 3.08, 4 Ta 3.23
Ta 0.0000 0.0000 0.8333  4 Ni 2.90, 4 Zn 3.08, 4 Ta 3.23
Ta 0.0000 0.5000 0.3333  4 Ni 2.55, 4 Zn 2.67
Ta 0.0000 0.0000 0.1667  4 Ni 2.90, 4 Zn 3.08, 4 Ta 3.23

6.
This record from Alexandria describes an optimized crystal structure of TaZn4Ni15. The functional is PBE.

Summary:
- total moment (μB per formula unit) = 4.14
- E_form (meV/atom) = -175
- space-group type = No. 123
- final energy (eV per cell) = -107.2

Unit cell a=3.6076 b=3.6076 c=17.8886 alpha=90.00 beta=90.00 gamma=90.00
With the nearest neighbours (Å) after each atom.
Positions (direct):
Ta 0.0000 0.0000 0.0000  12 Ni 2.55-2.57
Ni 0.5000 0.5000 0.4013  8 Ni 2.52-2.53, 4 Zn 2.55
Ni 0.5000 0.0000 0.1026  8 Ni 2.54-2.57, 2 Zn 2.55, 2 Ta 2.57
Ni 0.5000 0.5000 0.5987  8 Ni 2.52-2.53, 4 Zn 2.55
Ni 0.5000 0.0000 0.5000  8 Ni 2.52-2.55, 4 Zn 2.53
Ni 0.5000 0.0000 0.8974  8 Ni 2.54-2.57, 2 Zn 2.55, 2 Ta 2.57
Ni 0.0000 0.5000 0.3020  4 Zn 2.52-2.53, 8 Ni 2.53-2.55
Ni 0.0000 0.5000 0.6980  4 Zn 2.52-2.53, 8 Ni 2.53-2.55
Ni 0.0000 0.5000 0.5000  8 Ni 2.52-2.55, 4 Zn 2.53
Ni 0.5000 0.0000 0.3020  4 Zn 2.52-2.53, 8 Ni 2.53-2.55
Ni 0.0000 0.5000 0.1026  8 Ni 2.54-2.57, 2 Zn 2.55, 2 Ta 2.57
Ni 0.5000 0.5000 0.2027  8 Ni 2.53-2.54, 4 Zn 2.55
Ni 0.5000 0.5000 0.0000  4 Ta 2.55, 8 Ni 2.57
Ni 0.5000 0.5000 0.7973  8 Ni 2.53-2.54, 4 Zn 2.55
Ni 0.5000 0.0000 0.6980  4 Zn 2.52-2.53, 8 Ni 2.53-2.55
Ni 0.0000 0.5000 0.8974  8 Ni 2.54-2.57, 2 Zn 2.55, 2 Ta 2.57
Zn 0.0000 0.0000 0.4008  12 Ni 2.53-2.55
Zn 0.0000 0.0000 0.7963  12 Ni 2.52-2.55
Zn 0.0000 0.0000 0.2037  12 Ni 2.52-2.55
Zn 0.0000 0.0000 0.5992  12 Ni 2.53-2.55

7.
This record from Alexandria describes an optimized crystal structure of TaZnNi2. The functional is PBE.

Summary:
- total moment (μB per formula unit) = 0.00
- E_form (meV/atom) = -153
- space-group type = No. 8
- final energy (eV per cell) = -25.3

Unit cell a=4.7023 b=4.7023 c=4.4973 alpha=77.78 beta=77.78 gamma=33.66
With the nearest neighbours (Å) after each atom.
Positions (direct):
Zn 0.7388 0.7388 0.7971  7 Ni 2.57-2.70, 2 Zn 2.72, 1 Ta 2.83
Ta 0.5071 0.5071 0.4610  7 Ni 2.54-2.64, 2 Ta 2.72, 1 Zn 2.83
Ni 0.2611 0.2611 0.2712  3 Ta 2.54-2.64, 4 Zn 2.57-2.70, 4 Ni 2.61-2.72
Ni 0.9931 0.9931 0.9707  3 Zn 2.57-2.58, 4 Ni 2.61-2.72, 4 Ta 2.62-2.64

8.
This record from Alexandria describes an optimized crystal structure of TaZnNi2. The functional is PBE.

Summary:
- total moment (μB per formula unit) = 0.00
- E_form (meV/atom) = 311
- space-group type = No. 122
- final energy (eV per cell) = -46.9

Unit cell a=6.6575 b=6.6575 c=5.3914 alpha=51.87 beta=51.87 gamma=90.00
With the nearest neighbours (Å) after each atom.
Positions (direct):
Zn 0.2500 0.7500 0.5000  4 Ni 2.41, 2 Ta 2.63
Zn 0.5000 0.5000 0.0000  4 Ni 2.41, 2 Ta 2.63
Ni 0.6184 0.1250 0.2500  2 Zn 2.41, 2 Ta 2.47, 2 Ni 2.63
Ni 0.8750 0.8684 0.7500  2 Zn 2.41, 2 Ta 2.47, 2 Ni 2.63
Ni 0.3750 0.3816 0.7500  2 Zn 2.41, 2 Ta 2.47, 2 Ni 2.63
Ni 0.1316 0.6250 0.2500  2 Zn 2.41, 2 Ta 2.47, 2 Ni 2.63
Ta 0.0000 0.0000 0.0000  4 Ni 2.47, 2 Zn 2.63
Ta 0.7500 0.2500 0.5000  4 Ni 2.47, 2 Zn 2.63

9.
This record from Alexandria describes an optimized crystal structure of TaZnNi2. The functional is PBE.

Summary:
- total moment (μB per formula unit) = 0.00
- E_form (meV/atom) = -80
- space-group type = No. 25
- final energy (eV per cell) = -25.0

Unit cell a=2.7429 b=3.5288 c=5.5733 alpha=90.00 beta=90.00 gamma=90.00
With the nearest neighbours (Å) after each atom.
Positions (direct):
Zn 0.5000 0.5000 0.7902  5 Ni 2.49-2.51, 2 Zn 2.74
Ta 0.0000 0.0000 0.4761  6 Ni 2.60-2.90, 2 Ta 2.74, 4 Zn 2.84
Ni 0.0000 0.0000 0.9958  4 Zn 2.51, 6 Ni 2.61-2.74, 1 Ta 2.68
Ni 0.5000 0.5000 0.2378  1 Zn 2.49, 4 Ta 2.60, 6 Ni 2.61-2.74

10.
This record from Alexandria describes an optimized crystal structure of TaZnNi3. The functional is PBE.

Summary:
- total moment (μB per formula unit) = 0.00
- relative energy among the computed polymorphs (meV per atom) = 165
- E_form (meV/atom) = 125
- space-group type = No. 194
- final energy (eV per cell) = -59.7

Unit cell a=4.6257 b=5.8134 c=5.8134 alpha=120.00 beta=90.00 gamma=90.00
With the nearest neighbours (Å) after each atom.
Positions (direct):
Zn 0.5000 0.0000 0.0000  2 Zn 2.31, 6 Ni 2.33
Zn 0.0000 0.0000 0.0000  2 Zn 2.31, 6 Ni 2.33
Ta 0.7500 0.6665 0.3335  12 Ni 2.67-2.93
Ta 0.2500 0.3335 0.6665  12 Ni 2.67-2.93
Ni 0.7500 0.5981 0.7989  2 Ni 2.31, 2 Zn 2.33
Ni 0.7500 0.2010 0.7990  2 Ni 2.31, 2 Zn 2.33
Ni 0.7500 0.2011 0.4019  2 Ni 2.31, 2 Zn 2.33
Ni 0.2500 0.4019 0.2011  2 Ni 2.31, 2 Zn 2.33
Ni 0.2500 0.7990 0.2010  2 Ni 2.31, 2 Zn 2.33
Ni 0.2500 0.7989 0.5981  2 Ni 2.31, 2 Zn 2.33

11.
This record from Alexandria describes an optimized crystal structure of TaZnNi5. The functional is PBE.

Summary:
- total moment (μB per formula unit) = 0.00
- E_form (meV/atom) = 11
- space-group type = No. 123
- final energy (eV per cell) = -42.0

Unit cell a=3.5072 b=3.5073 c=7.3770 alpha=90.00 beta=90.00 gamma=90.00
With the nearest neighbours (Å) after each atom.
Positions (direct):
Ni 0.0000 0.5000 0.2461  6 Ni 2.48-2.57, 2 Ta 2.52, 2 Zn 2.57
Ni 0.5000 0.0000 0.2461  6 Ni 2.48-2.57, 2 Ta 2.52, 2 Zn 2.57
Ni 0.0000 0.5000 0.7539  6 Ni 2.48-2.57, 2 Ta 2.52, 2 Zn 2.57
Ni 0.5000 0.0000 0.7539  6 Ni 2.48-2.57, 2 Ta 2.52, 2 Zn 2.57
Ni 0.5000 0.5000 0.5000  4 Zn 2.48, 8 Ni 2.57
Ta 0.5000 0.5000 0.0000  8 Ni 2.52
Zn 0.0000 0.0000 0.5000  12 Ni 2.48-2.57

12.
This record from Alexandria describes an optimized crystal structure of TaZn2Ni. The functional is PBE.

Summary:
- total moment (μB per formula unit) = 0.00
- relative energy among the computed polymorphs (meV per atom) = 0
- E_form (meV/atom) = -112
- space-group type = No. 25
- final energy (eV per cell) = -20.6

Unit cell a=2.8504 b=2.9344 c=6.8582 alpha=90.00 beta=90.00 gamma=90.00
With the nearest neighbours (Å) after each atom.
Positions (direct):
Ni 0.0000 0.0000 0.4826  4 Zn 2.51, 4 Ta 2.66
Zn 0.0000 0.0000 0.0171  8 Zn 2.68-2.93, 4 Ta 2.83
Zn 0.5000 0.5000 0.2694  4 Ni 2.51, 4 Zn 2.68
Ta 0.5000 0.5000 0.7309  4 Ni 2.66, 4 Zn 2.83, 4 Ta 2.85-2.93